A plane-wave DFT calculation with GGA+U was carried out for crystalline V2MoAuF at its relaxed geometry.

Unit cell a=5.1494 b=5.1494 c=4.0910 alpha=90.00 beta=90.00 gamma=90.00
Space group P4/mmm (No. 123)
One atom of each set of equivalent atoms:
V (0.0000, 0.5000, 0.0000) [2 per cell]
Mo (0.0000, 0.0000, 0.0000) [1 per cell]
Au (0.5000, 0.5000, 0.5000) [1 per cell]
F (0.0000, 0.0000, 0.5000) [1 per cell]

Values from the calculation:
raw total energy = -23.46 eV/cell